Below is an optimized crystal structure of YHoPa2S4, with properties calculated at the PBE level.

Cell lengths 6.568, 3.792, 7.050 Å; angles 90.00, 108.11, 90.00 degrees
Space group P2/m (No. 10)
Unique sites:
Y 0.000 0.000 0.000 [1 per cell]
Ho 0.500 0.500 0.000 [1 per cell]
Pa 0.000 0.500 0.500 [1 per cell]
Pa 0.500 0.000 0.500 [1 per cell]
S 0.249 0.500 0.244 [2 per cell]
S 0.254 0.000 0.757 [2 per cell]

Computed properties:
Crystal system ... monoclinic
Density of states at the Fermi level ... 0.92 states/eV/atom
Formation energy from raw total energies ... -1.77 eV per atom

---

Below is an optimized crystal structure of YHo2PaS4, with properties calculated at the PBE level.

Cell lengths 6.757, 3.864, 6.760 Å; angles 90.00, 109.02, 90.00 degrees
Space group P2/m (No. 10)
Unique sites:
Y 0.000 0.000 0.000 [1 per cell]
Ho 0.500 0.000 0.500 [1 per cell]
Ho 0.500 0.500 0.000 [1 per cell]
Pa 0.000 0.500 0.500 [1 per cell]
S 0.253 0.500 0.251 [2 per cell]
S 0.254 0.000 0.753 [2 per cell]

Computed properties:
Crystal system ... monoclinic
Density of states at the Fermi level ... 0.66 states/eV/atom
Formation energy from raw total energies ... -1.87 eV per atom

---

Below is an optimized crystal structure of Y2HoPaS4, with properties calculated at the PBE level.

Cell lengths 6.773, 3.873, 6.774 Å; angles 90.00, 109.02, 90.00 degrees
Space group P2/m (No. 10)
Unique sites:
Y 0.000 0.000 0.000 [1 per cell]
Y 0.000 0.500 0.500 [1 per cell]
Ho 0.500 0.000 0.500 [1 per cell]
Pa 0.500 0.500 0.000 [1 per cell]
S 0.249 0.000 0.748 [2 per cell]
S 0.252 0.500 0.252 [2 per cell]

Computed properties:
Crystal system ... monoclinic
Density of states at the Fermi level ... 0.66 states/eV/atom
Formation energy from raw total energies ... -1.87 eV per atom

---

Below is an optimized crystal structure of Ho2PaSb, with properties calculated at the PBE level.

Cell lengths 4.808, 4.808, 4.514 Å; angles 90.00, 90.00, 90.00 degrees
Space group P4/mmm (No. 123)
Unique sites:
Ho 0.000 0.500 0.000 [2 per cell]
Pa 0.000 0.000 0.500 [1 per cell]
Sb 0.500 0.500 0.500 [1 per cell]

Computed properties:
Crystal system ... tetragonal
Density of states at the Fermi level ... 1.48 states/eV/atom
ΔE to the lowest computed polymorph ... 0.13 eV/f.u.
Formation energy from raw total energies ... -0.28 eV per atom

---

Below is an optimized crystal structure of Ho4PaSb5, with properties calculated at the PBE level.

Cell lengths 9.757, 9.757, 6.181 Å; angles 90.00, 90.00, 90.00 degrees
Space group I4/m (No. 87)
Unique sites:
Ho 0.100 0.699 0.000 [8 per cell]
Pa 0.000 0.000 0.500 [2 per cell]
Sb 0.000 0.000 0.000 [2 per cell]
Sb 0.099 0.701 0.500 [8 per cell]

Computed properties:
Crystal system ... tetragonal
Density of states at the Fermi level ... 0.66 states/eV/atom
Formation energy from raw total energies ... -0.98 eV per atom

---

Below is an optimized crystal structure of Ho2PaSb, with properties calculated at the PBE level.

Cell lengths 3.841, 3.841, 7.263 Å; angles 90.00, 90.00, 90.00 degrees
Space group P4/mmm (No. 123)
Unique sites:
Ho 0.000 0.000 0.228 [2 per cell]
Pa 0.500 0.500 0.500 [1 per cell]
Sb 0.500 0.500 0.000 [1 per cell]

Computed properties:
Crystal system ... tetragonal
Density of states at the Fermi level ... 0.86 states/eV/atom
ΔE to the lowest computed polymorph ... 0.00 eV/f.u.
Formation energy from raw total energies ... -0.31 eV per atom

---

Below is an optimized crystal structure of HoPa5Sb6, with properties calculated at the PBE level.

Cell lengths 7.550, 13.081, 7.545 Å; angles 90.00, 109.51, 90.00 degrees
Space group C2/m (No. 12)
Unique sites:
Ho 0.000 0.000 0.000 [2 per cell]
Pa 0.000 0.167 0.500 [4 per cell]
Pa 0.000 0.334 0.000 [4 per cell]
Pa 0.000 0.500 0.500 [2 per cell]
Sb 0.248 0.000 0.751 [4 per cell]
Sb 0.248 0.166 0.248 [8 per cell]

Computed properties:
Crystal system ... monoclinic
Density of states at the Fermi level ... 1.64 states/eV/atom
Formation energy from raw total energies ... -0.54 eV per atom

---

Below is an optimized crystal structure of Ho3PaSb4, with properties calculated at the PBE level.

Cell lengths 8.742, 12.339, 4.366 Å; angles 90.00, 90.00, 90.00 degrees
Space group Cmmm (No. 65)
Unique sites:
Ho 0.000 0.000 0.000 [2 per cell]
Ho 0.250 0.250 0.500 [4 per cell]
Pa 0.000 0.500 0.000 [2 per cell]
Sb 0.000 0.250 0.000 [4 per cell]
Sb 0.249 0.000 0.500 [4 per cell]

Computed properties:
Crystal system ... orthorhombic
Density of states at the Fermi level ... 0.81 states/eV/atom
Formation energy from raw total energies ... -0.94 eV per atom

---

Below is an optimized crystal structure of HoPa4Sb5, with properties calculated at the PBE level.

Cell lengths 9.745, 9.745, 6.165 Å; angles 90.00, 90.00, 90.00 degrees
Space group I4/m (No. 87)
Unique sites:
Ho 0.000 0.000 0.000 [2 per cell]
Pa 0.100 0.700 0.500 [8 per cell]
Sb 0.000 0.000 0.500 [2 per cell]
Sb 0.100 0.702 0.000 [8 per cell]

Computed properties:
Crystal system ... tetragonal
Density of states at the Fermi level ... 1.59 states/eV/atom
Formation energy from raw total energies ... -0.56 eV per atom

---

Below is an optimized crystal structure of Ho5PaSb6, with properties calculated at the PBE level.

Cell lengths 7.556, 13.088, 7.555 Å; angles 90.00, 109.45, 90.00 degrees
Space group C2/m (No. 12)
Unique sites:
Ho 0.000 0.000 0.000 [2 per cell]
Ho 0.000 0.167 0.500 [4 per cell]
Ho 0.000 0.333 0.000 [4 per cell]
Pa 0.000 0.500 0.500 [2 per cell]
Sb 0.249 0.334 0.750 [8 per cell]
Sb 0.249 0.500 0.251 [4 per cell]

Computed properties:
Crystal system ... monoclinic
Density of states at the Fermi level ... 0.51 states/eV/atom
Formation energy from raw total energies ... -1.01 eV per atom

---

Below is an optimized crystal structure of HoPa2Sb, with properties calculated at the PBE level.

Cell lengths 4.454, 4.454, 5.076 Å; angles 90.00, 90.00, 90.00 degrees
Space group P4/mmm (No. 123)
Unique sites:
Ho 0.000 0.000 0.000 [1 per cell]
Pa 0.000 0.500 0.500 [2 per cell]
Sb 0.500 0.500 0.000 [1 per cell]

Computed properties:
Crystal system ... tetragonal
Density of states at the Fermi level ... 2.00 states/eV/atom
ΔE to the lowest computed polymorph ... 0.00 eV/f.u.
Formation energy from raw total energies ... -0.28 eV per atom

---

Below is an optimized crystal structure of HoPa2Sb, with properties calculated at the PBE level.

Cell lengths 3.2562, 3.2562, 36.3411 Å; angles 90.00, 90.00, 120.00 degrees
Space group R-3m (No. 166, hexagonal axes)
Unique sites:
Ho 0.0000 0.0000 0.0000 [3 per cell]
Pa 0.0000 0.0000 0.4138 [6 per cell]
Sb 0.0000 0.0000 0.5000 [3 per cell]

Computed properties:
Crystal system ... trigonal
Density of states at the Fermi level ... 2.23 states/eV/atom
ΔE to the lowest computed polymorph ... 2.11 eV/f.u.
Formation energy from raw total energies ... 0.24 eV per atom

---

Below is an optimized crystal structure of Ho3PaSb4, with properties calculated at the PBE level.

Cell lengths 6.173, 6.173, 12.331 Å; angles 90.00, 90.00, 90.00 degrees
Space group I4/mmm (No. 139)
Unique sites:
Ho 0.000 0.000 0.000 [2 per cell]
Ho 0.000 0.500 0.250 [4 per cell]
Pa 0.000 0.000 0.500 [2 per cell]
Sb 0.000 0.000 0.251 [4 per cell]
Sb 0.000 0.500 0.000 [4 per cell]

Computed properties:
Crystal system ... tetragonal
Density of states at the Fermi level ... 0.79 states/eV/atom
Formation energy from raw total energies ... -0.94 eV per atom

---

Below is an optimized crystal structure of Ho2PaSb, with properties calculated at the PBE level.

Cell lengths 3.4884, 3.4884, 31.3769 Å; angles 90.00, 90.00, 120.00 degrees
Space group R-3m (No. 166, hexagonal axes)
Unique sites:
Ho 0.0000 0.0000 0.2463 [6 per cell]
Pa 0.0000 0.0000 0.0000 [3 per cell]
Sb 0.0000 0.0000 0.5000 [3 per cell]

Computed properties:
Crystal system ... trigonal
Density of states at the Fermi level ... 1.21 states/eV/atom
ΔE to the lowest computed polymorph ... 0.53 eV/f.u.
Formation energy from raw total energies ... -0.18 eV per atom

---

Below is an optimized crystal structure of Ho5Pa3Sb8, with properties calculated at the PBE level.

Cell lengths 8.7268, 8.7268, 21.4611 Å; angles 90.00, 90.00, 120.00 degrees
Space group R-3m (No. 166, hexagonal axes)
Unique sites:
Ho 0.0000 0.0000 0.0000 [3 per cell]
Ho 0.0000 0.0000 0.5000 [3 per cell]
Ho 0.0000 0.5000 0.0000 [9 per cell]
Pa 0.0000 0.5000 0.5000 [9 per cell]
Sb 0.0000 0.0000 0.2512 [6 per cell]
Sb 0.0008 0.5004 0.2504 [18 per cell]

Computed properties:
Crystal system ... trigonal
Density of states at the Fermi level ... 1.21 states/eV/atom
Formation energy from raw total energies ... -0.85 eV per atom

---

Below is an optimized crystal structure of HoPa2Sb3, with properties calculated at the PBE level.

Cell lengths 7.552, 13.090, 7.591 Å; angles 90.00, 109.39, 90.00 degrees
Space group C2/m (No. 12)
Unique sites:
Ho 0.000 0.167 0.000 [4 per cell]
Pa 0.000 0.000 0.500 [2 per cell]
Pa 0.000 0.334 0.500 [4 per cell]
Pa 0.000 0.500 0.000 [2 per cell]
Sb 0.247 0.000 0.246 [4 per cell]
Sb 0.250 0.168 0.752 [8 per cell]

Computed properties:
Crystal system ... monoclinic
Density of states at the Fermi level ... 1.74 states/eV/atom
Formation energy from raw total energies ... -0.65 eV per atom

---

Below is an optimized crystal structure of HoScPa2Sb4, with properties calculated at the PBE level.

Cell lengths 7.479, 4.321, 7.502 Å; angles 90.00, 109.44, 90.00 degrees
Space group P2/m (No. 10)
Unique sites:
Ho 0.000 0.000 0.000 [1 per cell]
Sc 0.500 0.500 0.000 [1 per cell]
Pa 0.000 0.500 0.500 [1 per cell]
Pa 0.500 0.000 0.500 [1 per cell]
Sb 0.253 0.500 0.242 [2 per cell]
Sb 0.260 0.000 0.762 [2 per cell]

Computed properties:
Crystal system ... monoclinic
Density of states at the Fermi level ... 1.51 states/eV/atom
Formation energy from raw total energies ... -0.71 eV per atom

---

Below is an optimized crystal structure of Ho2ScPaSb4, with properties calculated at the PBE level.

Cell lengths 7.458, 4.327, 7.501 Å; angles 90.00, 109.42, 90.00 degrees
Space group P2/m (No. 10)
Unique sites:
Ho 0.000 0.000 0.000 [1 per cell]
Ho 0.500 0.500 0.000 [1 per cell]
Sc 0.000 0.500 0.500 [1 per cell]
Pa 0.500 0.000 0.500 [1 per cell]
Sb 0.241 0.000 0.741 [2 per cell]
Sb 0.244 0.500 0.253 [2 per cell]

Computed properties:
Crystal system ... monoclinic
Density of states at the Fermi level ... 0.80 states/eV/atom
Formation energy from raw total energies ... -0.89 eV per atom

---

Below is an optimized crystal structure of HoSc2PaSb4, with properties calculated at the PBE level.

Cell lengths 7.359, 4.273, 7.409 Å; angles 90.00, 109.48, 90.00 degrees
Space group P2/m (No. 10)
Unique sites:
Ho 0.000 0.000 0.000 [1 per cell]
Sc 0.500 0.000 0.500 [1 per cell]
Sc 0.500 0.500 0.000 [1 per cell]
Pa 0.000 0.500 0.500 [1 per cell]
Sb 0.264 0.500 0.255 [2 per cell]
Sb 0.266 0.000 0.756 [2 per cell]

Computed properties:
Crystal system ... monoclinic
Density of states at the Fermi level ... 0.81 states/eV/atom
Formation energy from raw total energies ... -0.85 eV per atom

---

Below is an optimized crystal structure of SmHoPa2Sb4, with properties calculated at the PBE level.

Cell lengths 7.590, 4.384, 7.651 Å; angles 90.00, 109.34, 90.00 degrees
Space group P2/m (No. 10)
Unique sites:
Sm 0.000 0.000 0.000 [1 per cell]
Ho 0.500 0.500 0.000 [1 per cell]
Pa 0.000 0.500 0.500 [1 per cell]
Pa 0.500 0.000 0.500 [1 per cell]
Sb 0.253 0.000 0.750 [2 per cell]
Sb 0.254 0.500 0.252 [2 per cell]

Computed properties:
Crystal system ... monoclinic
Density of states at the Fermi level ... 1.54 states/eV/atom
Formation energy from raw total energies ... -0.78 eV per atom

---

Below is an optimized crystal structure of Sm2HoPaSb4, with properties calculated at the PBE level.

Cell lengths 7.635, 4.417, 7.664 Å; angles 90.00, 109.37, 90.00 degrees
Space group P2/m (No. 10)
Unique sites:
Sm 0.000 0.000 0.000 [1 per cell]
Sm 0.500 0.500 0.000 [1 per cell]
Ho 0.000 0.500 0.500 [1 per cell]
Pa 0.500 0.000 0.500 [1 per cell]
Sb 0.248 0.000 0.742 [2 per cell]
Sb 0.252 0.500 0.256 [2 per cell]

Computed properties:
Crystal system ... monoclinic
Density of states at the Fermi level ... 0.81 states/eV/atom
Formation energy from raw total energies ... -0.98 eV per atom

---

Below is an optimized crystal structure of Sr3Ho2PaSb6, with properties calculated at the PBE level.

Cell lengths 7.817, 13.546, 8.045 Å; angles 90.00, 108.91, 90.00 degrees
Space group C2/m (No. 12)
Unique sites:
Sr 0.000 0.000 0.000 [2 per cell]
Sr 0.000 0.332 0.000 [4 per cell]
Ho 0.000 0.166 0.500 [4 per cell]
Pa 0.000 0.500 0.500 [2 per cell]
Sb 0.238 0.336 0.722 [8 per cell]
Sb 0.246 0.000 0.722 [4 per cell]

Computed properties:
Crystal system ... monoclinic
Density of states at the Fermi level ... 0.68 states/eV/atom
Formation energy from raw total energies ... -0.93 eV per atom

---

Below is an optimized crystal structure of TbHo2PaSb4, with properties calculated at the PBE level.

Cell lengths 7.570, 4.374, 7.580 Å; angles 90.00, 109.37, 90.00 degrees
Space group P2/m (No. 10)
Unique sites:
Tb 0.000 0.000 0.000 [1 per cell]
Ho 0.500 0.000 0.500 [1 per cell]
Ho 0.500 0.500 0.000 [1 per cell]
Pa 0.000 0.500 0.500 [1 per cell]
Sb 0.251 0.500 0.252 [2 per cell]
Sb 0.252 0.000 0.750 [2 per cell]

Computed properties:
Crystal system ... monoclinic
Density of states at the Fermi level ... 0.82 states/eV/atom
Formation energy from raw total energies ... -0.95 eV per atom

---

Below is an optimized crystal structure of TbHoPa2Sb4, with properties calculated at the PBE level.

Cell lengths 7.562, 4.369, 7.620 Å; angles 90.00, 109.35, 90.00 degrees
Space group P2/m (No. 10)
Unique sites:
Tb 0.000 0.000 0.000 [1 per cell]
Ho 0.500 0.500 0.000 [1 per cell]
Pa 0.000 0.500 0.500 [1 per cell]
Pa 0.500 0.000 0.500 [1 per cell]
Sb 0.251 0.500 0.249 [2 per cell]
Sb 0.252 0.000 0.752 [2 per cell]

Computed properties:
Crystal system ... monoclinic
Density of states at the Fermi level ... 1.53 states/eV/atom
Formation energy from raw total energies ... -0.77 eV per atom